[1]
Material: Tl2SiBr
Method: DFT, PBE-GGA
State: optimized geometry

Properties
- Calculated volume: 29.24 Å³ per atom
- Symmetry: R-3m (166)
- E: -2.876 eV per atom
- Relative energy among the computed polymorphs: 0.0200 eV per atom
- Formation energy (no corrections): 31.5 kJ/mol of formula units

Cell: 7.8612 7.8612 7.8612 Å, 31.38 31.38 31.38°
Closest atoms and distances in Å follow each position.
Sites, in units of the cell vectors:
Br  0.2500  0.2500  0.2500  6 Tl 3.33
Si  0.7500  0.7500  0.7500  6 Tl 2.87
Tl  0.0171  0.0171  0.0171  3 Si 2.87
Tl  0.4829  0.4829  0.4829  3 Si 2.87


[2]
Material: Sm2ZnSiPt6
Method: DFT, PBE-GGA
State: optimized geometry

Properties
- Calculated volume: 20.19 Å³ per atom
- Symmetry: Fm-3m (225)
- E: -5.776 eV per atom
- Formation energy (no corrections): -518.6 kJ/mol of formula units

Cell: 6.5854 6.5854 6.5854 Å, 60.00 60.00 90.00°
Closest atoms and distances in Å follow each position.
Sites, in units of the cell vectors:
Sm  0.2500  0.7500  0.5000  12 Pt 3.29
Sm  0.7500  0.2500  0.5000  12 Pt 3.29
Zn  0.5000  0.5000  0.0000  6 Pt 2.39
Si  0.0000  0.0000  0.0000  6 Pt 2.27
Pt  0.2436  0.7564  0.0000  1 Si 2.27, 1 Zn 2.39
Pt  0.7564  0.7564  0.0000  1 Si 2.27, 1 Zn 2.39
Pt  0.2436  0.2436  0.5128  1 Si 2.27, 1 Zn 2.39
Pt  0.7564  0.2436  0.0000  1 Si 2.27, 1 Zn 2.39
Pt  0.2436  0.2436  0.0000  1 Si 2.27, 1 Zn 2.39
Pt  0.7564  0.7564  0.4872  1 Si 2.27, 1 Zn 2.39